VSIO2 after structural relaxation, computed with GGA+U.

Properties
The raw total energy is -4.413 eV/atom.

extended XYZ file:
```
5
Lattice="3.9091 0.0000 0.0000 0.0000 3.9091 0.0000 0.0000 0.0000 6.0668" Properties=species:S:1:pos:R:3 pbc="T T T"
V 0.0000 0.0000 0.0000
S 1.9545 1.9545 0.0000
I 0.0000 0.0000 3.0334
O 0.0000 1.9545 3.0334
O 1.9545 0.0000 3.0334
```